## TlW4Se8 (GGA-PBE)

Data for TlW4Se8 after structural relaxation.

Lattice parameters (Å, degrees): 3.382 9.017 9.543 82.98 79.79 79.19
Positions (direct):
Tl  0.516  0.002  0.966
W  0.340  0.868  0.451
W  0.829  0.503  0.840
W  0.202  0.501  0.094
W  0.692  0.135  0.482
Se  0.149  0.329  0.372
Se  0.560  0.663  0.217
Se  0.471  0.340  0.717
Se  0.882  0.674  0.562
Se  0.873  0.984  0.270
Se  0.204  0.704  0.888
Se  0.159  0.019  0.663
Se  0.827  0.300  0.046

Computed properties:
* total magnetization: 0.00 μB per cell
* V: 21.55 Å³ per atom
* SG: Cm
* E_form (uncorrected): -0.28 eV/atom